Entry 1:
DFT (GGA+U) results for crystalline KInW2O6 at its relaxed geometry.

Symmetry   Fm-3m (225)
E   -6.506 eV per atom
Spin magnetization   1.991 μB/f.u.

Unit cell a=5.7156 b=5.7156 c=5.7156 alpha=60.00 beta=60.00 gamma=60.00
Last column: nearest neighbours and their distance in Å.
Element x y z (fractional)
K  0.0000  0.0000  0.0000  12 O 2.86
In  0.5000  0.5000  0.5000  12 O 2.86
W  0.2500  0.2500  0.2500  6 O 2.02
W  0.7500  0.7500  0.7500  6 O 2.02
O  0.0000  0.0000  0.5000  2 W 2.02
O  0.0000  0.5000  0.0000  2 W 2.02
O  0.0000  0.5000  0.5000  2 W 2.02
O  0.5000  0.0000  0.0000  2 W 2.02
O  0.5000  0.0000  0.5000  2 W 2.02
O  0.5000  0.5000  0.0000  2 W 2.02

Entry 2:
DFT (GGA+U) results for crystalline K3InW2O9 at its relaxed geometry.

Symmetry   P-3m1 (164)
E   -6.301 eV per atom
Spin magnetization   0.000 μB/f.u.

Unit cell a=5.7467 b=5.7467 c=7.0836 alpha=90.00 beta=90.00 gamma=120.00
Last column: nearest neighbours and their distance in Å.
Element x y z (fractional)
K  0.0000  0.0000  0.0000  12 O 2.84-2.87
K  0.3333  0.6667  0.6656  12 O 2.88-2.93
K  0.6667  0.3333  0.3344  12 O 2.88-2.93
In  0.0000  0.0000  0.5000  6 O 2.17
W  0.3333  0.6667  0.1687  6 O 1.89-2.04
W  0.6667  0.3333  0.8313  6 O 1.89-2.04
O  0.0000  0.5000  0.0000  2 W 2.04
O  0.1750  0.3500  0.3167  1 W 1.89
O  0.1750  0.8250  0.3167  1 W 1.89
O  0.3500  0.1750  0.6833  1 W 1.89
O  0.5000  0.0000  0.0000  2 W 2.04
O  0.5000  0.5000  0.0000  2 W 2.04
O  0.6500  0.8250  0.3167  1 W 1.89
O  0.8250  0.1750  0.6833  1 W 1.89
O  0.8250  0.6500  0.6833  1 W 1.89

Entry 3:
DFT (GGA+U) results for crystalline KInW4O12 at its relaxed geometry.

Symmetry   Amm2 (38)
E   -6.965 eV per atom
Spin magnetization   4.000 μB/f.u.

Unit cell a=7.8966 b=5.5148 c=5.5148 alpha=91.18 beta=90.00 gamma=90.00
Last column: nearest neighbours and their distance in Å.
Element x y z (fractional)
K  0.0000  0.0000  0.0000  10 O 2.60-2.87
In  0.5000  0.5261  0.5261  4 O 2.18
W  0.2482  0.0086  0.5114  6 O 1.96-2.09
W  0.2482  0.5114  0.0086  6 O 1.96-2.09
W  0.7518  0.0086  0.5114  6 O 1.96-2.09
W  0.7518  0.5114  0.0086  6 O 1.96-2.09
O  0.0000  0.0701  0.4850  2 W 1.99
O  0.0000  0.4850  0.0701  2 W 1.99
O  0.2132  0.7139  0.7139  2 W 2.01
O  0.2565  0.2161  0.8047  2 W 1.96
O  0.2565  0.8047  0.2161  2 W 1.96
O  0.3103  0.3202  0.3202  2 W 2.09, 1 In 2.18
O  0.5000  0.5315  0.9210  2 W 2.05, 1 In 2.18
O  0.5000  0.9210  0.5315  2 W 2.05, 1 In 2.18
O  0.6897  0.3202  0.3202  2 W 2.09, 1 In 2.18
O  0.7435  0.2161  0.8047  2 W 1.96
O  0.7435  0.8047  0.2161  2 W 1.96
O  0.7868  0.7139  0.7139  2 W 2.01

Entry 4:
DFT (GGA+U) results for crystalline KInW2O8 at its relaxed geometry.

Symmetry   R32 (155)
E   -6.653 eV per atom
Spin magnetization   0.000 μB/f.u.

Unit cell a=9.5157 b=9.5157 c=9.5157 alpha=33.59 beta=33.59 gamma=33.59
Last column: nearest neighbours and their distance in Å.
Element x y z (fractional)
K  0.0000  0.0000  0.0000  6 O 3.26
In  0.5000  0.5000  0.5000  6 O 2.17
W  0.2395  0.2395  0.2395  4 O 1.79-1.82
W  0.7605  0.7605  0.7605  4 O 1.79-1.82
O  0.1212  0.4996  0.7249  1 W 1.82
O  0.2751  0.5004  0.8788  1 W 1.82
O  0.3059  0.3059  0.3059  1 W 1.79
O  0.4996  0.7249  0.1212  1 W 1.82
O  0.5004  0.8788  0.2751  1 W 1.82
O  0.6941  0.6941  0.6941  1 W 1.79
O  0.7249  0.1212  0.4996  1 W 1.82
O  0.8788  0.2751  0.5004  1 W 1.82

Entry 5:
DFT (GGA+U) results for crystalline K2InW3O12 at its relaxed geometry.

Symmetry   R-3m (166)
E   -6.646 eV per atom
Spin magnetization   1.017 μB/f.u.

Unit cell a=7.4807 b=7.4807 c=7.4807 alpha=59.98 beta=59.98 gamma=59.98
Last column: nearest neighbours and their distance in Å.
Element x y z (fractional)
K  0.1485  0.1485  0.1485  3 O 2.91
K  0.8515  0.8515  0.8515  3 O 2.91
In  0.5000  0.5000  0.5000  6 O 2.18
W  0.0000  0.5000  0.5000  6 O 1.91-1.95
W  0.5000  0.0000  0.5000  6 O 1.91-1.95
W  0.5000  0.5000  0.0000  6 O 1.91-1.95
O  0.1530  0.5771  0.5771  1 W 1.91
O  0.1968  0.1968  0.5642  2 W 1.95
O  0.1968  0.5642  0.1968  2 W 1.95
O  0.4229  0.4229  0.8470  1 W 1.91
O  0.4229  0.8470  0.4229  1 W 1.91
O  0.4358  0.8032  0.8032  2 W 1.95
O  0.5642  0.1968  0.1968  2 W 1.95
O  0.5771  0.1530  0.5771  1 W 1.91
O  0.5771  0.5771  0.1530  1 W 1.91
O  0.8032  0.4358  0.8032  2 W 1.95
O  0.8032  0.8032  0.4358  2 W 1.95
O  0.8470  0.4229  0.4229  1 W 1.91

Entry 6:
DFT (GGA+U) results for crystalline KZrInWO6 at its relaxed geometry.

Symmetry   F-43m (216)
E   -7.124 eV per atom
Spin magnetization   0.000 μB/f.u.

Unit cell a=5.8116 b=5.8116 c=5.8116 alpha=60.00 beta=60.00 gamma=60.00
Last column: nearest neighbours and their distance in Å.
Element x y z (fractional)
K  0.0000  0.0000  0.0000  12 O 2.91
Zr  0.2500  0.2500  0.2500  6 O 2.14
In  0.5000  0.5000  0.5000  12 O 2.91
W  0.7500  0.7500  0.7500  6 O 1.97
O  0.5108  0.5108  0.9892  1 W 1.97, 1 Zr 2.14
O  0.5108  0.9892  0.5108  1 W 1.97, 1 Zr 2.14
O  0.5108  0.9892  0.9892  1 W 1.97, 1 Zr 2.14
O  0.9892  0.5108  0.5108  1 W 1.97, 1 Zr 2.14
O  0.9892  0.5108  0.9892  1 W 1.97, 1 Zr 2.14
O  0.9892  0.9892  0.5108  1 W 1.97, 1 Zr 2.14